DFT (SCAN) results for a crystal of CrCuOs2 relaxed with PBEsol.

It has space group I4/mmm (No. 139), with a = 3.764 Å, b = 3.764 Å, c = 7.198 Å, α = 90.00°, β = 90.00° and γ = 90.00°. Symmetry generates all atoms from Cr at (0.000, 0.000, 0.000), Cu at (0.000, 0.000, 0.500) and Os at (0.000, 0.500, 0.250).

For the formation enthalpy at 0 K, the calculation gives 0.25 eV per atom. The magnetization comes out at 0.00 μB per atom. As for the total DFT energy (no corrections): -352.7 eV per cell.